Computed, not measured: a relaxed La2NbRu crystal at the GGA-PBE level of DFT.

```
La2NbRu
1.0
0.000 3.659 3.659
3.659 0.000 3.659
3.659 3.659 0.000
La Nb Ru
2 1 1
Direct
0.250 0.250 0.250 La
0.750 0.750 0.750 La
0.000 0.000 0.000 Nb
0.500 0.500 0.500 Ru
```

N(E_F)   4.99 states/eV per cell
ΔH_f (0 K)   0.38 eV/atom
Space-group type   Fm-3m, No. 225
Volume   24.5 Å³ per atom
Crystal system   cubic
Calculated total energy   -6.921 eV/atom
Total magnetic moment   2.57 μB/cell
Energy above the most stable polymorph in this dataset   0 meV per atom

---

Computed, not measured: a relaxed SiAs2Au crystal at the GGA-PBE level of DFT.

```
SiAs2Au
1.0
2.772 0.000 0.000
0.000 2.772 0.000
0.000 0.000 9.665
Si As Au
1 2 1
Direct
0.000 0.000 0.000 Si
0.500 0.500 0.241 As
0.500 0.500 0.759 As
0.000 0.000 0.500 Au
```

N(E_F)   1.48 states/eV per cell
Space-group type   P4/mmm, No. 123
Volume   18.6 Å³ per atom
Crystal system   tetragonal
Calculated total energy   -4.071 eV/atom
Total magnetic moment   0.00 μB/cell
Energy relative to the elements, uncorrected   0.43 eV/atom

---

Computed, not measured: a relaxed TlInPt2 crystal at the GGA-PBE level of DFT.

```
TlInPt2
1.0
3.025 0.000 0.000
0.000 5.623 0.000
0.000 0.000 4.720
Tl In Pt
1 1 2
Direct
0.000 0.000 0.000 Tl
0.497 0.500 0.352 In
0.500 0.000 0.501 Pt
0.997 0.500 0.849 Pt
```

N(E_F)   2.10 states/eV per cell
ΔH_f (0 K)   -0.11 eV/atom
Space-group type   Pm, No. 6
Volume   20.1 Å³ per atom
Crystal system   monoclinic
Calculated total energy   -4.403 eV/atom
Total magnetic moment   0.00 μB/cell

---

What is the formula in the third record?
TlInPt2

---

Repeat the first record exactly.
Computed, not measured: a relaxed La2NbRu crystal at the GGA-PBE level of DFT.

```
La2NbRu
1.0
0.000 3.659 3.659
3.659 0.000 3.659
3.659 3.659 0.000
La Nb Ru
2 1 1
Direct
0.250 0.250 0.250 La
0.750 0.750 0.750 La
0.000 0.000 0.000 Nb
0.500 0.500 0.500 Ru
```

N(E_F)   4.99 states/eV per cell
ΔH_f (0 K)   0.38 eV/atom
Space-group type   Fm-3m, No. 225
Volume   24.5 Å³ per atom
Crystal system   cubic
Calculated total energy   -6.921 eV/atom
Total magnetic moment   2.57 μB/cell
Energy above the most stable polymorph in this dataset   0 meV per atom

---

Repeat the first record exactly.
Computed, not measured: a relaxed La2NbRu crystal at the GGA-PBE level of DFT.

```
La2NbRu
1.0
0.000 3.659 3.659
3.659 0.000 3.659
3.659 3.659 0.000
La Nb Ru
2 1 1
Direct
0.250 0.250 0.250 La
0.750 0.750 0.750 La
0.000 0.000 0.000 Nb
0.500 0.500 0.500 Ru
```

N(E_F)   4.99 states/eV per cell
ΔH_f (0 K)   0.38 eV/atom
Space-group type   Fm-3m, No. 225
Volume   24.5 Å³ per atom
Crystal system   cubic
Calculated total energy   -6.921 eV/atom
Total magnetic moment   2.57 μB/cell
Energy above the most stable polymorph in this dataset   0 meV per atom

---

Number 2 is which compound?
SiAs2Au